# 1
Computed, not measured: LiBe2Cl at its PBEsol-relaxed geometry at the SCAN level of DFT.

abc: 3.1210 3.1210 6.9648
angles: 90.00 90.00 90.00
Positions (direct):
1 Li 0.0000 0.0000 0.0000
2 Be 0.0000 0.5000 0.5000
3 Be 0.5000 0.0000 0.5000
4 Cl 0.5000 0.5000 0.0000

- Total magnetic moment: 0.000 μB/atom
- E_form (uncorrected): -0.20 eV per atom
- Space-group type: No. 123
- Raw total energy: -19.88 eV for the cell shown
- Energy relative to the lowest polymorph listed for this composition: 0.0 kJ/mol of atoms

***

# 2
Computed, not measured: NaLiBe2Cl at its PBEsol-relaxed geometry at the SCAN level of DFT.

abc: 4.3558 4.3558 4.9980
angles: 90.00 90.00 90.00
Positions (direct):
1 Na 0.0000 0.0000 0.0000
2 Li 0.5000 0.5000 0.5000
3 Be 0.0000 0.5000 0.5000
4 Be 0.5000 0.0000 0.5000
5 Cl 0.5000 0.5000 0.0000

- Total magnetic moment: 0.000 μB/atom
- E_form (uncorrected): 0.45 eV per atom
- Space-group type: No. 123
- Raw total energy: -21.05 eV for the cell shown

***

# 3
Computed, not measured: Li4Be3P3ClO12 at its PBEsol-relaxed geometry at the SCAN level of DFT.

abc: 8.0141 8.0141 8.0141
angles: 90.00 90.00 90.00
Positions (direct):
1 Li 0.1716 0.1716 0.1716
2 Li 0.1716 0.8284 0.8284
3 Li 0.3284 0.3284 0.6716
4 Li 0.3284 0.6716 0.3284
5 Li 0.6716 0.3284 0.3284
6 Li 0.6716 0.6716 0.6716
7 Li 0.8284 0.1716 0.8284
8 Li 0.8284 0.8284 0.1716
9 Be 0.0000 0.2500 0.5000
10 Be 0.0000 0.7500 0.5000
11 Be 0.2500 0.5000 0.0000
12 Be 0.5000 0.0000 0.2500
13 Be 0.5000 0.0000 0.7500
14 Be 0.7500 0.5000 0.0000
15 P 0.0000 0.5000 0.2500
16 P 0.0000 0.5000 0.7500
17 P 0.2500 0.0000 0.5000
18 P 0.5000 0.2500 0.0000
19 P 0.5000 0.7500 0.0000
20 P 0.7500 0.0000 0.5000
21 Cl 0.0000 0.0000 0.0000
22 Cl 0.5000 0.5000 0.5000
23 O 0.0862 0.3649 0.6430
24 O 0.0862 0.6351 0.3570
25 O 0.1351 0.4138 0.1430
26 O 0.1351 0.5862 0.8570
27 O 0.1430 0.1351 0.4138
28 O 0.1430 0.8649 0.5862
29 O 0.3570 0.0862 0.6351
30 O 0.3570 0.9138 0.3649
31 O 0.3649 0.3570 0.9138
32 O 0.3649 0.6430 0.0862
33 O 0.4138 0.1430 0.1351
34 O 0.4138 0.8570 0.8649
35 O 0.5862 0.1430 0.8649
36 O 0.5862 0.8570 0.1351
37 O 0.6351 0.3570 0.0862
38 O 0.6351 0.6430 0.9138
39 O 0.6430 0.0862 0.3649
40 O 0.6430 0.9138 0.6351
41 O 0.8570 0.1351 0.5862
42 O 0.8570 0.8649 0.4138
43 O 0.8649 0.4138 0.8570
44 O 0.8649 0.5862 0.1430
45 O 0.9138 0.3649 0.3570
46 O 0.9138 0.6351 0.6430

- Total magnetic moment: 0.000 μB/atom
- E_form (uncorrected): -2.73 eV per atom
- Space-group type: No. 218
- Raw total energy: -398.75 eV for the cell shown

***

# 4
Computed, not measured: LiBeP2Cl at its PBEsol-relaxed geometry at the SCAN level of DFT.

abc: 3.9661 3.9661 6.6901
angles: 90.00 90.00 90.00
Positions (direct):
1 Li 0.0000 0.0000 0.0000
2 Be 0.5000 0.5000 0.5000
3 P 0.0000 0.5000 0.5000
4 P 0.5000 0.0000 0.5000
5 Cl 0.5000 0.5000 0.0000

- Total magnetic moment: 0.001 μB/atom
- E_form (uncorrected): -0.08 eV per atom
- Space-group type: No. 123
- Raw total energy: -35.93 eV for the cell shown

***

# 5
Computed, not measured: MgBe2Cl at its PBEsol-relaxed geometry at the SCAN level of DFT.

abc: 5.2444 5.2444 5.2444
angles: 148.22 118.52 70.88
Positions (direct):
1 Mg 0.0000 0.0000 0.0000
2 Be 0.2782 0.7782 0.5000
3 Be 0.4844 0.4844 0.0000
4 Cl 0.6613 0.1613 0.5000

- Total magnetic moment: 0.010 μB/atom
- E_form (uncorrected): 0.28 eV per atom
- Space-group type: No. 44
- Raw total energy: -20.52 eV for the cell shown
- Energy relative to the lowest polymorph listed for this composition: 0.0 kJ/mol of atoms

***

# 6
Computed, not measured: MgBe2Cl at its PBEsol-relaxed geometry at the SCAN level of DFT.

abc: 4.9846 4.9846 4.9846
angles: 135.21 135.21 65.20
Positions (direct):
1 Mg 0.0000 0.0000 0.0000
2 Be 0.5000 0.5000 0.0000
3 Be 0.7500 0.2500 0.5000
4 Cl 0.2500 0.7500 0.5000

- Total magnetic moment: 0.000 μB/atom
- E_form (uncorrected): 0.59 eV per atom
- Space-group type: No. 119
- Raw total energy: -19.29 eV for the cell shown
- Energy relative to the lowest polymorph listed for this composition: 29.6 kJ/mol of atoms

***

# 7
Computed, not measured: Mg4BeCl at its PBEsol-relaxed geometry at the SCAN level of DFT.

abc: 5.7055 5.7055 5.7055
angles: 60.00 60.00 60.00
Positions (direct):
1 Mg 0.1238 0.1238 0.1238
2 Mg 0.1238 0.1238 0.6285
3 Mg 0.1238 0.6285 0.1238
4 Mg 0.6285 0.1238 0.1238
5 Be 0.7500 0.7500 0.7500
6 Cl 0.5000 0.5000 0.5000

- Total magnetic moment: 0.000 μB/atom
- E_form (uncorrected): 0.36 eV per atom
- Space-group type: No. 216
- Raw total energy: -30.08 eV for the cell shown

***

# 8
Computed, not measured: MgBeCl2 at its PBEsol-relaxed geometry at the SCAN level of DFT.

abc: 4.8039 4.8039 4.8039
angles: 60.00 60.00 60.00
Positions (direct):
1 Mg 0.0000 0.0000 0.0000
2 Be 0.2500 0.2500 0.2500
3 Cl 0.5000 0.5000 0.5000
4 Cl 0.7500 0.7500 0.7500

- Total magnetic moment: 0.000 μB/atom
- E_form (uncorrected): 0.17 eV per atom
- Space-group type: No. 216
- Raw total energy: -24.59 eV for the cell shown
- Energy relative to the lowest polymorph listed for this composition: 59.3 kJ/mol of atoms

***

# 9
Computed, not measured: Mg2BeCl at its PBEsol-relaxed geometry at the SCAN level of DFT.

abc: 5.0736 5.0736 5.0736
angles: 129.94 129.94 73.50
Positions (direct):
1 Mg 0.2500 0.7500 0.5000
2 Mg 0.7500 0.2500 0.5000
3 Be 0.0000 0.0000 0.0000
4 Cl 0.5000 0.5000 0.0000

- Total magnetic moment: 0.000 μB/atom
- E_form (uncorrected): 0.22 eV per atom
- Space-group type: No. 139
- Raw total energy: -21.38 eV for the cell shown

***

# 10
Computed, not measured: MgBe2Cl at its PBEsol-relaxed geometry at the SCAN level of DFT.

abc: 4.6370 4.6370 4.6370
angles: 60.00 60.00 60.00
Positions (direct):
1 Mg 0.0000 0.0000 0.0000
2 Be 0.2500 0.2500 0.2500
3 Be 0.7500 0.7500 0.7500
4 Cl 0.5000 0.5000 0.5000

- Total magnetic moment: 0.000 μB/atom
- E_form (uncorrected): 1.07 eV per atom
- Space-group type: No. 225
- Raw total energy: -17.36 eV for the cell shown
- Energy relative to the lowest polymorph listed for this composition: 76.2 kJ/mol of atoms

***

# 11
Computed, not measured: MgBeCl2 at its PBEsol-relaxed geometry at the SCAN level of DFT.

abc: 3.0961 3.0961 9.4002
angles: 90.00 90.00 90.00
Positions (direct):
1 Mg 0.0000 0.0000 0.0000
2 Be 0.0000 0.0000 0.5000
3 Cl 0.5000 0.5000 0.1598
4 Cl 0.5000 0.5000 0.8402

- Total magnetic moment: 0.000 μB/atom
- E_form (uncorrected): -0.44 eV per atom
- Space-group type: No. 123
- Raw total energy: -27.05 eV for the cell shown
- Energy relative to the lowest polymorph listed for this composition: 0.0 kJ/mol of atoms

***

# 12
Computed, not measured: MgBeNi2Cl at its PBEsol-relaxed geometry at the SCAN level of DFT.

abc: 4.1046 4.1046 4.6095
angles: 90.00 90.00 90.00
Positions (direct):
1 Mg 0.0000 0.0000 0.0000
2 Be 0.5000 0.5000 0.0000
3 Ni 0.0000 0.5000 0.5000
4 Ni 0.5000 0.0000 0.5000
5 Cl 0.0000 0.0000 0.5000

- Total magnetic moment: 0.000 μB/atom
- E_form (uncorrected): 0.72 eV per atom
- Space-group type: No. 123
- Raw total energy: -46.04 eV for the cell shown
- Energy relative to the lowest polymorph listed for this composition: 37.1 kJ/mol of atoms